# PBE-GGA K2ZrTlTe, relaxed
# spin magnetization = 2.719 μB/f.u.
# electronic total energy = -14.5 eV per cell
# symmetry = No. 123
# uncorrected formation energy = 34.6 kJ per mole of atoms
data_K2ZrTlTe
_space_group_name_H-M_alt 'P 1'
_space_group_IT_number 1
_cell_length_a 6.797
_cell_length_b 6.797
_cell_length_c 5.496
_cell_angle_alpha 90.00
_cell_angle_beta 90.00
_cell_angle_gamma 90.00
loop_
_space_group_symop_operation_xyz
'x,y,z'
loop_
_atom_site_label
_atom_site_fract_x
_atom_site_fract_y
_atom_site_fract_z
K1 0.000 0.500 0.000
K2 0.500 0.000 0.000
Zr1 0.000 0.000 0.000
Tl1 0.500 0.500 0.500
Te1 0.000 0.000 0.500